# 1
{"formula": "CeSc3Co4", "functional": "PBE", "state": "relaxed", "ef_ev_per_atom": -0.288, "vol_a3_per_cell": 130, "e_tot_ev_per_atom": -6.957, "cell": [[3.1907, 0.0000, 0.0000], [0.0000, 4.5113, 0.0000], [0.0000, 0.0000, 8.9975]], "species": ["Ce", "Sc", "Sc", "Sc", "Co", "Co", "Co", "Co"], "frac_coords": [[0.0000, 0.0000, 0.0000], [0.0000, 0.0000, 0.5000], [0.0000, 0.5000, 0.2618], [0.0000, 0.5000, 0.7382], [0.5000, 0.0000, 0.2538], [0.5000, 0.0000, 0.7462], [0.5000, 0.5000, 0.0000], [0.5000, 0.5000, 0.5000]]}

# 2
{"formula": "CeScCo10", "functional": "PBE", "state": "relaxed", "ef_ev_per_atom": -0.109, "vol_a3_per_cell": 161, "e_tot_ev_per_atom": -7.053, "cell": [[3.9831, 0.0000, 0.0000], [0.0000, 4.8319, 0.0000], [0.0000, 0.0000, 8.3673]], "species": ["Ce", "Sc", "Co", "Co", "Co", "Co", "Co", "Co", "Co", "Co", "Co", "Co"], "frac_coords": [[0.0000, 0.0000, 0.0000], [0.0000, 0.5000, 0.5000], [0.0000, 0.0000, 0.3294], [0.0000, 0.0000, 0.6706], [0.0000, 0.5000, 0.1717], [0.0000, 0.5000, 0.8283], [0.5000, 0.0000, 0.5000], [0.5000, 0.2592, 0.2602], [0.5000, 0.2592, 0.7398], [0.5000, 0.5000, 0.0000], [0.5000, 0.7408, 0.2602], [0.5000, 0.7408, 0.7398]]}

Q: Number 2 is which compound?
A: CeScCo10

Q: Number 1 is which compound?
A: CeSc3Co4